Version A
## Ce2PuGe (GGA-PBE)

Data for a geometry-optimized Ce2PuGe structure.

**ρ**: 10.0 g/cm3

The structure in POSCAR format:
```
Ce2PuGe
1.0
3.863 0.000 0.000
0.000 3.863 0.000
0.000 0.000 6.614
Ge Ce Pu
1 2 1
Direct
0.500 0.500 0.500
0.000 0.000 0.275
0.000 0.000 0.725
0.500 0.500 0.000
```

Version B
## Ce2PuGe (GGA-PBE)

Data for a geometry-optimized Ce2PuGe structure.

**ρ**: 8.9 g/cm3

The structure in POSCAR format:
```
Ce2PuGe
1.0
4.174 0.000 0.000
2.087 3.614 0.000
2.087 1.205 7.348
Ce Ge Pu
2 1 1
Direct
0.072 0.072 0.784
0.249 0.249 0.252
0.660 0.660 0.021
0.519 0.519 0.443
```

Most stable: version A (next structure +194 meV per atom)